DFT (GGA+U) results for a relaxed K3Na3NiF8 crystal.

Cell lengths 7.192, 7.192, 7.192 Å; angles 56.82, 56.82, 56.82 degrees
Atoms (fractional coordinates):
K1 0.000 0.500 0.500
K2 0.500 0.000 0.500
K3 0.500 0.500 0.000
Na1 0.000 0.000 0.500
Na2 0.000 0.500 0.000
Na3 0.500 0.000 0.000
Ni1 0.500 0.500 0.500
F1 0.238 0.238 0.238
F2 0.272 0.709 0.709
F3 0.291 0.291 0.728
F4 0.291 0.728 0.291
F5 0.709 0.272 0.709
F6 0.709 0.709 0.272
F7 0.728 0.291 0.291
F8 0.762 0.762 0.762

Output
**ρ**: 2.70 Mg/m³
**Size of the total moment**: 1.98 μB per cell
**Electronic total energy**: -0.15695 Ha/atom